No. 1
ScTc2Br | meta-GGA SCAN | single point on PBEsol structure

Cell lengths 2.8985, 2.8985, 8.7870 Å; angles 90.00, 90.00, 115.41 degrees
Closest atoms and distances in Å follow each position.
Sites, in units of the cell vectors:
Tc (0.0000, 0.0000, 0.7526)  2 Sc 2.67, 2 Br 2.71, 4 Tc 2.90
Tc (0.0000, 0.0000, 0.2474)  2 Sc 2.67, 2 Br 2.71, 4 Tc 2.90
Br (0.5000, 0.5000, 0.5000)  4 Tc 2.71, 4 Br 2.90
Sc (0.5000, 0.5000, 0.0000)  4 Tc 2.67, 4 Sc 2.90

Values from the calculation:
The value obtained for the density of states at the Fermi level is 4.14 states/eV/f.u. The raw formation energy is 0.655 eV/atom.

***

No. 2
Rb2NaBiBr6 | meta-GGA SCAN | single point on PBEsol structure

Cell lengths 7.9969, 7.9969, 7.9969 Å; angles 60.00, 60.00, 60.00 degrees
Closest atoms and distances in Å follow each position.
Sites, in units of the cell vectors:
Rb (0.7500, 0.7500, 0.7500)  12 Br 4.00
Rb (0.2500, 0.2500, 0.2500)  12 Br 4.00
Br (0.7507, 0.7507, 0.2493)  1 Bi 2.82, 1 Na 2.84
Br (0.2493, 0.7507, 0.7507)  1 Bi 2.82, 1 Na 2.84
Br (0.7507, 0.2493, 0.7507)  1 Bi 2.82, 1 Na 2.84
Br (0.7507, 0.2493, 0.2493)  1 Bi 2.82, 1 Na 2.84
Br (0.2493, 0.7507, 0.2493)  1 Bi 2.82, 1 Na 2.84
Br (0.2493, 0.2493, 0.7507)  1 Bi 2.82, 1 Na 2.84
Bi (0.0000, 0.0000, 0.0000)  6 Br 2.82
Na (0.5000, 0.5000, 0.5000)  6 Br 2.84

Values from the calculation:
The value obtained for the density of states at the Fermi level is 0.00 states/eV/f.u. The raw formation energy is -1.419 eV/atom.

***

No. 3
Cl | meta-GGA SCAN | single point on PBEsol structure

Cell lengths 2.9252, 2.9252, 2.9252 Å; angles 109.47, 109.47, 109.47 degrees
Closest atoms and distances in Å follow each position.
Sites, in units of the cell vectors:
Cl (0.0000, 0.0000, 0.0000)  8 Cl 2.93

Values from the calculation:
The value obtained for the density of states at the Fermi level is 0.85 states/eV/f.u. The raw formation energy is 0.856 eV/atom.

***

No. 4
TcMo2PRh | meta-GGA SCAN | single point on PBEsol structure

Cell lengths 4.2464, 4.3518, 4.3518 Å; angles 90.00, 90.00, 90.00 degrees
Closest atoms and distances in Å follow each position.
Sites, in units of the cell vectors:
Mo (0.0000, 0.5000, 0.0000)  2 P 2.18
Mo (0.0000, 0.0000, 0.5000)  2 P 2.18
Rh (0.5000, 0.5000, 0.5000)  8 Mo 3.04, 4 Tc 3.08
P (0.0000, 0.0000, 0.0000)  2 Tc 2.12, 4 Mo 2.18
Tc (0.5000, 0.0000, 0.0000)  2 P 2.12

Values from the calculation:
As for the formation energy: 0.702 eV per atom. The value obtained for the density of states at the Fermi level is 5.75 states/eV/f.u.

***

No. 5
K2ZnPt | meta-GGA SCAN | single point on PBEsol structure

Cell lengths 3.0879, 3.0879, 10.1963 Å; angles 90.00, 90.00, 90.00 degrees
Closest atoms and distances in Å follow each position.
Sites, in units of the cell vectors:
K (0.0000, 0.0000, 0.2230)  4 K 3.09, 4 Pt 3.15
K (0.0000, 0.0000, 0.7770)  4 K 3.09, 4 Pt 3.15
Zn (0.5000, 0.5000, 0.5000)  4 Zn 3.09
Pt (0.5000, 0.5000, 0.0000)  4 Pt 3.09, 8 K 3.15

Values from the calculation:
As for the formation energy: 0.251 eV per atom. The value obtained for the density of states at the Fermi level is 1.29 states/eV/f.u.

***

No. 6
Mg2InRu | meta-GGA SCAN | single point on PBEsol structure

Cell lengths 4.0116, 4.0116, 5.1266 Å; angles 113.03, 113.03, 90.00 degrees
Closest atoms and distances in Å follow each position.
Sites, in units of the cell vectors:
Mg (0.7500, 0.2500, 0.5000)  4 In 2.84, 4 Ru 2.93, 4 Mg 2.93
Mg (0.0000, 0.0000, 0.0000)  4 Ru 2.84, 4 In 2.93, 4 Mg 2.93
Ru (0.5000, 0.5000, 0.0000)  8 Mg 2.84-2.93, 4 In 2.93
In (0.2500, 0.7500, 0.5000)  8 Mg 2.84-2.93, 4 Ru 2.93

Values from the calculation:
As for the formation energy: -0.172 eV per atom. The value obtained for the density of states at the Fermi level is 0.86 states/eV/f.u.

***

Copy entry 6 word for word.
Mg2InRu | meta-GGA SCAN | single point on PBEsol structure

Cell lengths 4.0116, 4.0116, 5.1266 Å; angles 113.03, 113.03, 90.00 degrees
Closest atoms and distances in Å follow each position.
Sites, in units of the cell vectors:
Mg (0.7500, 0.2500, 0.5000)  4 In 2.84, 4 Ru 2.93, 4 Mg 2.93
Mg (0.0000, 0.0000, 0.0000)  4 Ru 2.84, 4 In 2.93, 4 Mg 2.93
Ru (0.5000, 0.5000, 0.0000)  8 Mg 2.84-2.93, 4 In 2.93
In (0.2500, 0.7500, 0.5000)  8 Mg 2.84-2.93, 4 Ru 2.93

Values from the calculation:
As for the formation energy: -0.172 eV per atom. The value obtained for the density of states at the Fermi level is 0.86 states/eV/f.u.